1.
Below is a relaxed SrSnAu2 crystal, with properties calculated at the PBE level.

Values from the calculation:
E_form   -2.395 eV/f.u.

Lattice parameters (Å, degrees): 6.7230 7.2679 8.3832 90.00 90.00 90.00
Fractional positions:
1 Sr 0.3352 0.2500 0.0193
2 Sr 0.8352 0.7500 0.4807
3 Sr 0.6648 0.7500 0.9807
4 Sr 0.1648 0.2500 0.5193
5 Sn 0.6581 0.2500 0.3920
6 Sn 0.1581 0.7500 0.1080
7 Sn 0.3419 0.7500 0.6080
8 Sn 0.8419 0.2500 0.8920
9 Au 0.9362 0.0506 0.2020
10 Au 0.4362 0.9494 0.2980
11 Au 0.0638 0.5506 0.7980
12 Au 0.5638 0.4494 0.7020
13 Au 0.0638 0.9494 0.7980
14 Au 0.5638 0.0506 0.7020
15 Au 0.9362 0.4494 0.2020
16 Au 0.4362 0.5506 0.2980



2.
Below is a relaxed LiGa2Pb crystal, with properties calculated at the PBE level.

Values from the calculation:
E_form   -0.147 eV/f.u.

Lattice parameters (Å, degrees): 4.3725 4.3725 5.8826 68.18 68.18 60.00
Fractional positions:
1 Pb 0.0000 0.0000 0.0000
2 Ga 0.7940 0.7940 0.6180
3 Ga 0.2060 0.2060 0.3820
4 Li 0.5000 0.5000 0.5000



3.
Below is a relaxed SbSO crystal, with properties calculated at the PBE level.

Values from the calculation:
Formation energy (no corrections)   -0.41 eV/atom
Energy above the lowest structure with this stoichiometry   0.100 eV/atom

Lattice parameters (Å, degrees): 5.2969 6.9592 6.1162 90.00 90.00 90.00
Fractional positions:
1 O 0.2500 0.8123 0.5170
2 O 0.7500 0.3123 0.9830
3 O 0.2500 0.6877 0.0170
4 O 0.7500 0.1877 0.4830
5 S 0.7500 0.8395 0.1596
6 S 0.7500 0.6605 0.6596
7 S 0.2500 0.1605 0.8404
8 S 0.2500 0.3395 0.3404
9 Sb 0.7500 0.4199 0.2863
10 Sb 0.7500 0.0801 0.7863
11 Sb 0.2500 0.9199 0.2137
12 Sb 0.2500 0.5801 0.7137



4.
Below is a relaxed Tb6Dy3Tm2Zr crystal, with properties calculated at the PBE level.

Values from the calculation:
E_form   0.502 eV/f.u.

Lattice parameters (Å, degrees): 6.0738 6.0738 11.6133 94.96 94.96 119.91
Fractional positions:
1 Tb 0.9186 0.5912 0.7560
2 Tb 0.7543 0.7543 0.2434
3 Tb 0.0814 0.4088 0.2440
4 Tb 0.5912 0.9186 0.7560
5 Tb 0.2457 0.2457 0.7566
6 Tb 0.4088 0.0814 0.2440
7 Dy 0.1665 0.8335 0.5000
8 Dy 0.8335 0.1665 0.5000
9 Dy 0.5000 0.5000 0.5000
10 Tm 0.3331 0.6669 0.0000
11 Tm 0.6669 0.3331 0.0000
12 Zr 0.0000 0.0000 0.0000